This record from the Alexandria database describes a geometry-optimized Rb2SmCo3F12 structure. The functional is GGA+U.

Results
As for the energy: -92.48 eV for the cell shown.

Structure (extended XYZ):
```
18
Lattice="7.291 -0.143 -0.101 3.477 6.410 -0.101 3.477 2.024 6.083" Properties=species:S:1:pos:R:3 pbc="T T T"
Co 1.738 1.012 3.042
Co 3.646 -0.071 -0.051
Co 1.738 3.205 -0.051
F 3.359 4.205 0.599
F 6.205 3.612 5.442
F 6.205 6.330 1.610
F 10.886 4.087 5.283
F 10.886 6.337 2.111
F 3.359 1.955 3.771
F 8.568 2.269 1.610
F 8.040 4.680 0.440
F 8.930 7.448 5.283
F 8.040 1.962 4.272
F 5.677 6.022 4.272
F 5.315 0.844 0.599
Sm 0.000 0.000 0.000
Rb 8.756 5.097 3.615
Rb 5.489 3.195 2.266
```